Entry 1:
Ho19Er6Sc4 | PBE | optimized geometry

Cell and atoms, written as CIF:
```
data_Ho19Er6Sc4
_chemical_formula_sum 'Ho38 Er12 Sc8'
_cell_length_a 12.2446
_cell_length_b 12.2446
_cell_length_c 12.2446
_cell_angle_alpha 90.00
_cell_angle_beta 90.00
_cell_angle_gamma 90.00
_symmetry_space_group_name_H-M 'I 2 3'
_symmetry_Int_Tables_number 197
_symmetry_space_group_name_Hall 'I 2 2 3'
loop_
_atom_site_label
_atom_site_type_symbol
_atom_site_fract_x
_atom_site_fract_y
_atom_site_fract_z
_atom_site_occupancy
Ho1 Ho 0.0000 0.0000 0.0000 1
Ho2 Ho 0.0000 0.0000 0.2604 1
Ho3 Ho 0.0656 0.2603 0.2769 1
Er1 Er 0.0000 0.3712 0.5000 1
Sc1 Sc 0.1770 0.1770 0.8230 1
```

**Formation enthalpy at 0 K**: 0.389 eV/atom
**Total magnetization**: 0.000 μB per atom

***

Entry 2:
Ho2ErSc | PBE | optimized geometry

Cell and atoms, written as CIF:
```
data_Ho2ErSc
_chemical_formula_sum 'Ho4 Er2 Sc2'
_cell_length_a 6.0334
_cell_length_b 3.4840
_cell_length_c 11.3156
_cell_angle_alpha 90.00
_cell_angle_beta 100.23
_cell_angle_gamma 90.00
_symmetry_space_group_name_H-M 'C 1 m 1'
_symmetry_Int_Tables_number 8
loop_
_symmetry_equiv_pos_as_xyz
'x,y,z'
'x,-y,z'
'x+1/2,y+1/2,z'
'x+1/2,-y+1/2,z'
loop_
_atom_site_label
_atom_site_type_symbol
_atom_site_fract_x
_atom_site_fract_y
_atom_site_fract_z
_atom_site_occupancy
Ho1 Ho 0.0000 0.0000 0.0000 1
Ho2 Ho 0.1600 0.0000 0.4816 1
Er1 Er 0.0791 0.5000 0.7399 1
Sc1 Sc 0.4142 0.0000 0.2423 1
```

**Formation enthalpy at 0 K**: 0.029 eV/atom
**E above lowest polymorph**: 0.0 kJ/mol of atoms
**Total magnetization**: 0.001 μB per atom

***

Entry 3:
HoEr5Sc2 | PBE | optimized geometry

Cell and atoms, written as CIF:
```
data_HoEr5Sc2
_chemical_formula_sum 'Ho4 Er20 Sc8'
_cell_length_a 8.6972
_cell_length_b 8.6972
_cell_length_c 12.3666
_cell_angle_alpha 90.00
_cell_angle_beta 90.00
_cell_angle_gamma 90.00
_symmetry_space_group_name_H-M 'I 4/m c m'
_symmetry_Int_Tables_number 140
_symmetry_space_group_name_Hall '-I 4 2c'
loop_
_atom_site_label
_atom_site_type_symbol
_atom_site_fract_x
_atom_site_fract_y
_atom_site_fract_z
_atom_site_occupancy
Ho1 Ho 0.0000 0.0000 0.2500 1
Er1 Er 0.0000 0.0000 0.0000 1
Er2 Er 0.1514 0.3486 0.1582 1
Sc1 Sc 0.1423 0.3577 0.5000 1
```

**Formation enthalpy at 0 K**: 0.099 eV/atom
**E above lowest polymorph**: 7.8 kJ/mol of atoms
**Total magnetization**: 0.000 μB per atom

***

Entry 4:
Ho5Er6Sc2 | PBE | optimized geometry

Cell and atoms, written as CIF:
```
data_Ho5Er6Sc2
_chemical_formula_sum 'Ho10 Er12 Sc4'
_cell_length_a 11.1597
_cell_length_b 19.9318
_cell_length_c 3.5188
_cell_angle_alpha 90.00
_cell_angle_beta 90.00
_cell_angle_gamma 90.00
_symmetry_space_group_name_H-M 'P b a m'
_symmetry_Int_Tables_number 55
loop_
_symmetry_equiv_pos_as_xyz
'x,y,z'
'-x,-y,-z'
'-x,-y,z'
'x,y,-z'
'x+1/2,-y+1/2,-z'
'-x+1/2,y+1/2,z'
'-x+1/2,y+1/2,-z'
'x+1/2,-y+1/2,z'
loop_
_atom_site_label
_atom_site_type_symbol
_atom_site_fract_x
_atom_site_fract_y
_atom_site_fract_z
_atom_site_occupancy
Ho1 Ho 0.0000 0.0000 0.0000 1
Ho2 Ho 0.0624 0.4221 0.0000 1
Ho3 Ho 0.1435 0.7202 0.0000 1
Er1 Er 0.0815 0.1548 0.0000 1
Er2 Er 0.1655 0.8836 0.5000 1
Er3 Er 0.2181 0.5554 0.5000 1
Sc1 Sc 0.1158 0.2864 0.5000 1
```

**Formation enthalpy at 0 K**: 0.052 eV/atom
**Total magnetization**: 0.000 μB per atom